NaGaC | PBE | optimized geometry

```
NaGaC
1.0
2.866 -3.517 0.000
2.866 3.517 0.000
0.000 0.000 5.330
Na Ga C
2 2 2
direct
0.250 0.250 0.000
0.750 0.750 0.000
0.000 0.500 0.500
0.500 0.000 0.500
0.250 0.750 0.730
0.750 0.250 0.270
```

Properties
Volume, Å³ per cell: 107.5
Calculated formation energy, kJ/mol of formula units: 189
VASP energy, Ha/atom: -0.14218